(1)
Density functional theory data (PBE-GGA) for a geometry-optimized LuAlRh2 structure.

Calculated total energy in Ry per atom: -0.4965
Crystal system: tetragonal
Symmetry: P4/mmm, No. 123

Unit cell a=3.335 b=4.397 c=4.397 alpha=90.00 beta=90.00 gamma=90.00
Positions (direct):
Lu: 0.500 0.500 0.500
Rh: 0.000 0.000 0.500
Rh: 0.000 0.500 0.000
Al: 0.500 0.000 0.000

(2)
Density functional theory data (PBE-GGA) for a geometry-optimized LuAlRh structure.

Calculated total energy in Ry per atom: -0.4398
Crystal system: tetragonal
Symmetry: I4mm, No. 107

Unit cell a=3.180 b=3.180 c=5.851 alpha=105.77 beta=105.77 gamma=90.00
Positions (direct):
Lu: 0.012 0.012 0.024
Rh: 0.685 0.685 0.369
Al: 0.303 0.303 0.606

(3)
Density functional theory data (PBE-GGA) for a geometry-optimized LuAlRh structure.

Calculated total energy in Ry per atom: -0.4385
Crystal system: hexagonal
Symmetry: P-6m2, No. 187

Unit cell a=3.343 b=4.412 c=4.412 alpha=120.00 beta=90.00 gamma=90.00
Positions (direct):
Lu: 0.667 0.667 0.333
Rh: 0.167 0.333 0.667
Al: 0.167 0.000 0.000

no.,DFT formation energy (meV/atom)
1,-1014
2,-779
3,-761